Sm5AlCd4: relaxed, GGA-PBE.

Unit cell a=3.755 b=3.755 c=19.278 alpha=90.00 beta=90.00 gamma=90.00
Element x y z (fractional)
Sm: 0.000 0.000 0.000
Sm: 0.000 0.000 0.203
Sm: 0.000 0.000 0.407
Sm: 0.000 0.000 0.593
Sm: 0.000 0.000 0.797
Al: 0.500 0.500 0.500
Cd: 0.500 0.500 0.101
Cd: 0.500 0.500 0.305
Cd: 0.500 0.500 0.695
Cd: 0.500 0.500 0.899

Summary:
Space-group type ... P4/mmm (123)
Total magnetic moment ... 1.0 μB per formula unit
Calculated total energy ... -34.3 eV for the cell shown